## ErZn9Au2 (GGA-PBE)

Data for a relaxed ErZn9Au2 crystal.

a = 8.337 Å, b = 8.337 Å, c = 8.337 Å
α = 99.91°, β = 99.91°, γ = 130.98°
Positions (direct):
Er1 0.375 0.625 0.750
Er2 0.625 0.375 0.250
Zn1 0.125 0.875 0.250
Zn2 0.128 0.550 0.337
Zn3 0.128 0.791 0.578
Zn4 0.209 0.287 0.337
Zn5 0.209 0.872 0.922
Zn6 0.287 0.209 0.837
Zn7 0.287 0.450 0.078
Zn8 0.450 0.287 0.578
Zn9 0.450 0.872 0.163
Zn10 0.550 0.128 0.837
Zn11 0.550 0.713 0.422
Zn12 0.713 0.550 0.922
Zn13 0.713 0.791 0.163
Zn14 0.791 0.128 0.078
Zn15 0.791 0.713 0.663
Zn16 0.872 0.209 0.422
Zn17 0.872 0.450 0.663
Zn18 0.875 0.125 0.750
Au1 0.000 0.000 0.000
Au2 0.000 0.000 0.500
Au3 0.000 0.500 0.000
Au4 0.500 0.000 0.500

## Properties
Distance to the lowest polymorph of the same formula ... 0 meV per atom
Calculated total energy ... -2.134 eV per atom
E_form ... -252 meV/atom


## Er4Zn2Au (GGA-PBE)

Data for a relaxed Er4Zn2Au crystal.

a = 8.550 Å, b = 8.550 Å, c = 8.550 Å
α = 33.86°, β = 33.86°, γ = 33.86°
Positions (direct):
Er1 0.122 0.122 0.122
Er2 0.373 0.373 0.373
Er3 0.627 0.627 0.627
Er4 0.878 0.878 0.878
Zn1 0.252 0.252 0.252
Zn2 0.748 0.748 0.748
Au1 0.500 0.500 0.500

## Properties
Calculated total energy ... -3.777 eV per atom
E_form ... -338 meV/atom


## Er3Zn2Au6 (GGA-PBE)

Data for a relaxed Er3Zn2Au6 crystal.

a = 12.993 Å, b = 12.993 Å, c = 12.993 Å
α = 161.16°, β = 161.16°, γ = 26.77°
Positions (direct):
Er1 0.000 0.000 0.000
Er2 0.199 0.199 0.000
Er3 0.801 0.801 0.000
Zn1 0.453 0.453 0.000
Zn2 0.547 0.547 0.000
Au1 0.105 0.605 0.500
Au2 0.314 0.314 0.000
Au3 0.395 0.895 0.500
Au4 0.605 0.105 0.500
Au5 0.686 0.686 0.000
Au6 0.895 0.395 0.500

## Properties
Calculated total energy ... -3.851 eV per atom
E_form ... -587 meV/atom


## Er5ZnAu4 (GGA-PBE)

Data for a relaxed Er5ZnAu4 crystal.

a = 3.556 Å, b = 3.556 Å, c = 17.859 Å
α = 90.00°, β = 90.00°, γ = 90.00°
Positions (direct):
Er1 0.000 0.000 0.000
Er2 0.000 0.000 0.202
Er3 0.000 0.000 0.402
Er4 0.000 0.000 0.598
Er5 0.000 0.000 0.798
Zn1 0.500 0.500 0.500
Au1 0.500 0.500 0.101
Au2 0.500 0.500 0.304
Au3 0.500 0.500 0.696
Au4 0.500 0.500 0.899

## Properties
Calculated total energy ... -4.501 eV per atom
E_form ... -782 meV/atom


## ErZn11Au (GGA-PBE)

Data for a relaxed ErZn11Au crystal.

a = 6.830 Å, b = 6.830 Å, c = 6.792 Å
α = 98.54°, β = 98.54°, γ = 134.27°
Positions (direct):
Er1 0.000 0.000 0.000
Zn1 0.000 0.500 0.000
Zn2 0.001 0.358 0.351
Zn3 0.292 0.510 0.788
Zn4 0.358 0.001 0.351
Zn5 0.490 0.708 0.212
Zn6 0.500 0.000 0.000
Zn7 0.500 0.500 0.500
Zn8 0.510 0.292 0.788
Zn9 0.642 0.999 0.649
Zn10 0.708 0.490 0.212
Zn11 0.999 0.642 0.649
Au1 0.000 0.000 0.500

## Properties
Calculated total energy ... -1.872 eV per atom
E_form ... -191 meV/atom


## ErZn2Au3 (GGA-PBE)

Data for a relaxed ErZn2Au3 crystal.

a = 4.535 Å, b = 4.535 Å, c = 12.654 Å
α = 90.00°, β = 90.00°, γ = 120.00°
Positions (direct):
Er1 0.000 0.000 0.250
Er2 0.000 0.000 0.750
Zn1 0.333 0.667 0.083
Zn2 0.333 0.667 0.417
Zn3 0.667 0.333 0.583
Zn4 0.667 0.333 0.917
Au1 0.000 0.000 0.000
Au2 0.000 0.000 0.500
Au3 0.333 0.667 0.633
Au4 0.333 0.667 0.867
Au5 0.667 0.333 0.133
Au6 0.667 0.333 0.367

## Properties
Calculated total energy ... -3.340 eV per atom
E_form ... -516 meV/atom


## ErZn2Au4 (GGA-PBE)

Data for a relaxed ErZn2Au4 crystal.

a = 5.603 Å, b = 5.603 Å, c = 5.603 Å
α = 103.05°, β = 103.05°, γ = 123.26°
Positions (direct):
Er1 0.000 0.000 0.000
Zn1 0.250 0.750 0.500
Zn2 0.750 0.250 0.500
Au1 0.299 0.299 0.597
Au2 0.299 0.701 0.000
Au3 0.701 0.299 0.000
Au4 0.701 0.701 0.403

## Properties
Calculated total energy ... -3.389 eV per atom
E_form ... -501 meV/atom


## Er4Zn3Au (GGA-PBE)

Data for a relaxed Er4Zn3Au crystal.

a = 3.686 Å, b = 4.514 Å, c = 11.056 Å
α = 90.00°, β = 90.00°, γ = 90.00°
Positions (direct):
Er1 0.000 0.000 0.000
Er2 0.000 0.500 0.294
Er3 0.500 0.000 0.497
Er4 0.500 0.500 0.798
Zn1 0.000 0.000 0.720
Zn2 0.000 0.500 0.575
Zn3 0.500 0.500 0.069
Au1 0.500 0.000 0.224

## Properties
Distance to the lowest polymorph of the same formula ... 46 meV per atom
Calculated total energy ... -3.612 eV per atom
E_form ... -443 meV/atom


## ErZn6Au2 (GGA-PBE)

Data for a relaxed ErZn6Au2 crystal.

a = 3.869 Å, b = 3.869 Å, c = 10.524 Å
α = 90.00°, β = 90.00°, γ = 90.00°
Positions (direct):
Er1 0.000 0.000 0.000
Zn1 0.000 0.000 0.500
Zn2 0.000 0.500 0.311
Zn3 0.000 0.500 0.689
Zn4 0.500 0.000 0.311
Zn5 0.500 0.000 0.689
Zn6 0.500 0.500 0.500
Au1 0.500 0.500 0.133
Au2 0.500 0.500 0.867

## Properties
Calculated total energy ... -2.378 eV per atom
E_form ... -294 meV/atom


## ErZn3Au3 (GGA-PBE)

Data for a relaxed ErZn3Au3 crystal.

a = 6.976 Å, b = 6.976 Å, c = 6.976 Å
α = 90.00°, β = 90.00°, γ = 90.00°
Positions (direct):
Er1 0.000 0.000 0.000
Er2 0.500 0.500 0.500
Zn1 0.000 0.250 0.500
Zn2 0.000 0.750 0.500
Zn3 0.250 0.500 0.000
Zn4 0.500 0.000 0.250
Zn5 0.500 0.000 0.750
Zn6 0.750 0.500 0.000
Au1 0.000 0.500 0.250
Au2 0.000 0.500 0.750
Au3 0.250 0.000 0.500
Au4 0.500 0.250 0.000
Au5 0.500 0.750 0.000
Au6 0.750 0.000 0.500

## Properties
Distance to the lowest polymorph of the same formula ... 511 meV per atom
Calculated total energy ... -2.495 eV per atom
E_form ... 108 meV/atom


## Er8ZnAu2 (GGA-PBE)

Data for a relaxed Er8ZnAu2 crystal.

a = 9.151 Å, b = 9.151 Å, c = 6.816 Å
α = 105.81°, β = 105.81°, γ = 32.18°
Positions (direct):
Er1 0.030 0.030 0.281
Er2 0.199 0.199 0.816
Er3 0.333 0.333 0.527
Er4 0.407 0.407 0.043
Er5 0.593 0.593 0.957
Er6 0.667 0.667 0.473
Er7 0.801 0.801 0.184
Er8 0.970 0.970 0.719
Zn1 0.500 0.500 0.500
Au1 0.185 0.185 0.222
Au2 0.815 0.815 0.778

## Properties
Calculated total energy ... -4.416 eV per atom
E_form ... -386 meV/atom


## ErZn5Au6 (GGA-PBE)

Data for a relaxed ErZn5Au6 crystal.

a = 4.619 Å, b = 6.551 Å, c = 7.267 Å
α = 90.00°, β = 108.04°, γ = 90.00°
Positions (direct):
Er1 0.000 0.000 0.000
Zn1 0.000 0.500 0.000
Zn2 0.337 0.500 0.677
Zn3 0.340 0.000 0.677
Zn4 0.660 0.000 0.323
Zn5 0.663 0.500 0.323
Au1 0.177 0.257 0.353
Au2 0.177 0.743 0.353
Au3 0.500 0.271 0.000
Au4 0.500 0.729 0.000
Au5 0.823 0.257 0.647
Au6 0.823 0.743 0.647

## Properties
Calculated total energy ... -2.875 eV per atom
E_form ... -325 meV/atom